w) Density functional theory data (PBE-GGA) for a relaxed structure of MnCdCl2.

Calculated values
Magnetization ... 1.20 μB/atom
Crystal system ... tetragonal
Space-group type ... P4/mmm, No. 123
V ... 24.45 Å³ per atom

The structure in POSCAR format:
```
MnCdCl2
1.0
3.206 0.000 0.000
0.000 3.206 0.000
0.000 0.000 9.513
Mn Cd Cl
1 1 2
direct
0.000 0.000 0.000
0.000 0.000 0.500
0.500 0.500 0.161
0.500 0.500 0.839
```


x) Density functional theory data (PBE-GGA) for a relaxed structure of MnCdCl2.

Calculated values
Magnetization ... 1.14 μB/atom
Crystal system ... monoclinic
Space-group type ... C2/m, No. 12
V ... 25.16 Å³ per atom

The structure in POSCAR format:
```
MnCdCl2
1.0
3.902 -3.892 0.000
3.902 3.892 0.000
-0.048 0.000 3.314
Mn Cd Cl
1 1 2
direct
0.000 0.000 0.000
0.500 0.500 0.000
0.000 0.500 0.000
0.500 0.000 0.000
```


Which of them is the least stable? Correct choice: x).


w) Density functional theory data (PBE-GGA) for a relaxed structure of MnCdCl2.

Calculated values
Magnetization ... 1.03 μB/atom
Crystal system ... orthorhombic
Space-group type ... Pmmm, No. 47
V ... 22.28 Å³ per atom

The structure in POSCAR format:
```
MnCdCl2
1.0
3.465 0.000 0.000
0.000 4.259 0.000
0.000 0.000 6.037
Mn Cd Cl
1 1 2
direct
0.000 0.000 0.000
0.500 0.000 0.500
0.000 0.500 0.500
0.500 0.500 0.000
```


x) Density functional theory data (PBE-GGA) for a relaxed structure of MnCdCl2.

Calculated values
Magnetization ... 1.11 μB/atom
Crystal system ... orthorhombic
Space-group type ... Cmmm, No. 65
V ... 21.59 Å³ per atom

The structure in POSCAR format:
```
MnCdCl2
1.0
3.293 -3.855 0.000
3.293 3.855 0.000
0.000 0.000 3.401
Mn Cd Cl
1 1 2
direct
0.000 0.000 0.000
0.500 0.500 0.000
0.000 0.500 0.500
0.500 0.000 0.500
```


y) Density functional theory data (PBE-GGA) for a relaxed structure of MnCdCl2.

Calculated values
Magnetization ... 1.17 μB/atom
Crystal system ... monoclinic
Space-group type ... Pm, No. 6
V ... 24.79 Å³ per atom

The structure in POSCAR format:
```
MnCdCl2
1.0
3.508 0.000 0.000
0.000 3.443 0.000
-1.731 0.000 8.210
Mn Cd Cl
1 1 2
direct
0.000 0.000 0.000
0.393 0.500 0.781
0.098 0.500 0.197
0.804 0.000 0.602
```


z) Density functional theory data (PBE-GGA) for a relaxed structure of MnCdCl2.

Calculated values
Magnetization ... 1.12 μB/atom
Crystal system ... tetragonal
Space-group type ... P4mm, No. 99
V ... 22.48 Å³ per atom

The structure in POSCAR format:
```
MnCdCl2
1.0
3.275 0.000 0.000
0.000 3.275 0.000
0.000 0.000 8.383
Mn Cd Cl
1 1 2
direct
0.000 0.000 0.000
0.500 0.500 0.260
0.000 0.000 0.451
0.500 0.500 0.845
```


Which of them is the least stable? Correct choice: x).


w) Density functional theory data (PBE-GGA) for a relaxed structure of MnCdCl2.

Calculated values
Magnetization ... 1.26 μB/atom
Crystal system ... cubic
Space-group type ... F-43m, No. 216
V ... 22.18 Å³ per atom

The structure in POSCAR format:
```
MnCdCl2
1.0
0.000 3.540 3.540
3.540 0.000 3.540
3.540 3.540 0.000
Mn Cd Cl
1 1 2
direct
0.000 0.000 0.000
0.750 0.750 0.750
0.250 0.250 0.250
0.500 0.500 0.500
```


x) Density functional theory data (PBE-GGA) for a relaxed structure of MnCdCl2.

Calculated values
Magnetization ... 0.00 μB/atom
Crystal system ... tetragonal
Space-group type ... I-42d, No. 122
V ... 28.18 Å³ per atom

The structure in POSCAR format:
```
MnCdCl2
1.0
-3.471 3.471 4.677
3.471 -3.471 4.677
3.471 3.471 -4.677
Mn Cd Cl
2 2 4
direct
0.000 0.000 0.000
0.750 0.250 0.500
0.250 0.750 0.500
0.500 0.500 0.000
0.375 0.208 0.333
0.792 0.125 0.167
0.875 0.042 0.667
0.958 0.625 0.833
```


Which of them is the least stable? Correct choice: w).


w) Density functional theory data (PBE-GGA) for a relaxed structure of MnCd2Cl.

Calculated values
Magnetization ... 1.04 μB/atom
Crystal system ... tetragonal
Space-group type ... P4mm, No. 99
V ... 21.84 Å³ per atom

The structure in POSCAR format:
```
MnCd2Cl
1.0
3.167 0.000 0.000
0.000 3.167 0.000
0.000 0.000 8.711
Mn Cd Cl
1 2 1
direct
0.000 0.000 0.000
0.000 0.000 0.485
0.500 0.500 0.224
0.500 0.500 0.841
```


x) Density functional theory data (PBE-GGA) for a relaxed structure of MnCd2Cl.

Calculated values
Magnetization ... 1.07 μB/atom
Crystal system ... monoclinic
Space-group type ... Pm, No. 6
V ... 23.15 Å³ per atom

The structure in POSCAR format:
```
MnCd2Cl
1.0
3.198 0.000 0.000
0.000 4.828 0.000
-0.158 0.000 5.998
Mn Cd Cl
1 2 1
direct
0.000 0.000 0.000
0.481 0.000 0.582
0.976 0.500 0.509
0.999 0.500 0.032
```


Which of them is the least stable? Correct choice: x).


w) Density functional theory data (PBE-GGA) for a relaxed structure of MnCd2Cl.

Calculated values
Magnetization ... 1.12 μB/atom
Crystal system ... tetragonal
Space-group type ... I-42d, No. 122
V ... 23.57 Å³ per atom

The structure in POSCAR format:
```
MnCd2Cl
1.0
-4.040 4.040 2.888
4.040 -4.040 2.888
4.040 4.040 -2.888
Mn Cd Cl
2 4 2
direct
0.000 0.000 0.000
0.750 0.250 0.500
0.113 0.625 0.988
0.375 0.363 0.488
0.637 0.125 0.012
0.875 0.887 0.512
0.250 0.750 0.500
0.500 0.500 0.000
```


x) Density functional theory data (PBE-GGA) for a relaxed structure of MnCd2Cl.

Calculated values
Magnetization ... 1.08 μB/atom
Crystal system ... orthorhombic
Space-group type ... Cmm2, No. 35
V ... 22.74 Å³ per atom

The structure in POSCAR format:
```
MnCd2Cl
1.0
1.634 -2.777 0.000
1.634 2.777 0.000
0.000 0.000 10.019
Mn Cd Cl
1 2 1
direct
0.000 0.000 0.000
0.000 0.000 0.510
0.500 0.500 0.773
0.500 0.500 0.171
```


Which of them is the least stable? Correct choice: w).


w) Density functional theory data (PBE-GGA) for a relaxed structure of MnCd2Cl.

Calculated values
Magnetization ... 0.97 μB/atom
Crystal system ... trigonal
Space-group type ... R-3m, No. 166
V ... 20.89 Å³ per atom

The structure in POSCAR format:
```
MnCd2Cl
1.0
1.672 0.966 8.624
-1.672 0.966 8.624
0.000 -1.931 8.624
Mn Cd Cl
1 2 1
direct
0.000 0.000 0.000
0.252 0.252 0.252
0.748 0.748 0.748
0.500 0.500 0.500
```


x) Density functional theory data (PBE-GGA) for a relaxed structure of MnCd2Cl.

Calculated values
Magnetization ... 1.24 μB/atom
Crystal system ... cubic
Space-group type ... Fm-3m, No. 225
V ... 23.95 Å³ per atom

The structure in POSCAR format:
```
MnCd2Cl
1.0
0.000 3.632 3.632
3.632 0.000 3.632
3.632 3.632 0.000
Mn Cd Cl
1 2 1
direct
0.000 0.000 0.000
0.250 0.250 0.250
0.750 0.750 0.750
0.500 0.500 0.500
```


Which of them is the least stable? Correct choice: x).


w) Density functional theory data (PBE-GGA) for a relaxed structure of MnCd2Cl.

Calculated values
Magnetization ... 1.01 μB/atom
Crystal system ... orthorhombic
Space-group type ... Cmmm, No. 65
V ... 20.84 Å³ per atom

The structure in POSCAR format:
```
MnCd2Cl
1.0
2.897 -4.417 0.000
2.897 4.417 0.000
0.000 0.000 3.257
Mn Cd Cl
1 2 1
direct
0.000 0.000 0.000
0.000 0.500 0.500
0.500 0.000 0.500
0.500 0.500 0.000
```


x) Density functional theory data (PBE-GGA) for a relaxed structure of MnCd2Cl.

Calculated values
Magnetization ... 1.04 μB/atom
Crystal system ... tetragonal
Space-group type ... I-4m2, No. 119
V ... 21.47 Å³ per atom

The structure in POSCAR format:
```
MnCd2Cl
1.0
-2.089 2.089 4.922
2.089 -2.089 4.922
2.089 2.089 -4.922
Mn Cd Cl
1 2 1
direct
0.000 0.000 0.000
0.250 0.750 0.500
0.500 0.500 0.000
0.750 0.250 0.500
```


y) Density functional theory data (PBE-GGA) for a relaxed structure of MnCd2Cl.

Calculated values
Magnetization ... 1.21 μB/atom
Crystal system ... cubic
Space-group type ... F-43m, No. 216
V ... 22.96 Å³ per atom

The structure in POSCAR format:
```
MnCd2Cl
1.0
0.000 3.581 3.581
3.581 0.000 3.581
3.581 3.581 0.000
Mn Cd Cl
1 2 1
direct
0.000 0.000 0.000
0.250 0.250 0.250
0.500 0.500 0.500
0.750 0.750 0.750
```


Which of them is the least stable? Correct choice: y).


w) Density functional theory data (PBE-GGA) for a relaxed structure of MnCd2Cl.

Calculated values
Magnetization ... 0.97 μB/atom
Crystal system ... tetragonal
Space-group type ... P4/mmm, No. 123
V ... 21.26 Å³ per atom

The structure in POSCAR format:
```
MnCd2Cl
1.0
5.222 0.000 0.000
0.000 5.222 0.000
0.000 0.000 3.119
Mn Cd Cl
1 2 1
direct
0.000 0.000 0.000
0.000 0.500 0.500
0.500 0.000 0.500
0.500 0.500 0.000
```


x) Density functional theory data (PBE-GGA) for a relaxed structure of MnCd2Cl.

Calculated values
Magnetization ... 0.95 μB/atom
Crystal system ... tetragonal
Space-group type ... P4/mmm, No. 123
V ... 20.54 Å³ per atom

The structure in POSCAR format:
```
MnCd2Cl
1.0
3.225 0.000 0.000
0.000 3.225 0.000
0.000 0.000 7.899
Mn Cd Cl
1 2 1
direct
0.000 0.000 0.000
0.500 0.500 0.229
0.500 0.500 0.771
0.000 0.000 0.500
```


Which of them is the least stable? Correct choice: w).


w) Density functional theory data (PBE-GGA) for a relaxed structure of MnCd2Cl.

Calculated values
Magnetization ... 0.95 μB/atom
Crystal system ... monoclinic
Space-group type ... Cm, No. 8
V ... 23.44 Å³ per atom

The structure in POSCAR format:
```
MnCd2Cl
1.0
6.647 -1.537 0.000
6.647 1.537 0.000
-1.826 0.000 4.590
Mn Cd Cl
1 2 1
direct
0.000 0.000 0.000
0.542 0.542 0.542
0.694 0.694 0.193
0.346 0.346 0.846
```


x) Density functional theory data (PBE-GGA) for a relaxed structure of MnCd2Cl.

Calculated values
Magnetization ... 1.09 μB/atom
Crystal system ... orthorhombic
Space-group type ... Pmmm, No. 47
V ... 21.45 Å³ per atom

The structure in POSCAR format:
```
MnCd2Cl
1.0
3.105 0.000 0.000
0.000 4.907 0.000
0.000 0.000 5.632
Mn Cd Cl
1 2 1
direct
0.000 0.000 0.000
0.000 0.500 0.500
0.500 0.000 0.500
0.500 0.500 0.000
```


y) Density functional theory data (PBE-GGA) for a relaxed structure of MnCd2Cl.

Calculated values
Magnetization ... 1.05 μB/atom
Crystal system ... monoclinic
Space-group type ... C2/m, No. 12
V ... 22.31 Å³ per atom

The structure in POSCAR format:
```
MnCd2Cl
1.0
7.103 -1.544 0.000
7.103 1.544 0.000
-1.270 0.000 4.068
Mn Cd Cl
1 2 1
direct
0.000 0.000 0.000
0.309 0.309 0.809
0.691 0.691 0.191
0.500 0.500 0.500
```


Which of them is the least stable? Correct choice: x).


w) Density functional theory data (PBE-GGA) for a relaxed structure of MnCdCl.

Calculated values
Magnetization ... 1.56 μB/atom
Crystal system ... cubic
Space-group type ... F-43m, No. 216
V ... 25.20 Å³ per atom

The structure in POSCAR format:
```
MnCdCl
1.0
0.000 3.356 3.356
3.356 0.000 3.356
3.356 3.356 0.000
Mn Cd Cl
1 1 1
direct
0.000 0.000 0.000
0.250 0.250 0.250
0.750 0.750 0.750
```


x) Density functional theory data (PBE-GGA) for a relaxed structure of MnCdCl.

Calculated values
Magnetization ... 1.41 μB/atom
Crystal system ... orthorhombic
Space-group type ... Fmm2, No. 42
V ... 22.13 Å³ per atom

The structure in POSCAR format:
```
MnCdCl
1.0
0.000 2.809 6.939
1.703 0.000 6.939
1.703 2.809 0.000
Mn Cd Cl
1 1 1
direct
0.000 0.000 0.000
0.658 0.658 0.342
0.378 0.378 0.622
```


Which of them is the least stable? Correct choice: w).


w) Density functional theory data (PBE-GGA) for a relaxed structure of MnCdCl.

Calculated values
Magnetization ... 1.34 μB/atom
Crystal system ... trigonal
Space-group type ... P3m1, No. 156
V ... 21.66 Å³ per atom

The structure in POSCAR format:
```
MnCdCl
1.0
3.356 0.000 0.000
-1.678 2.906 0.000
0.000 0.000 6.665
Mn Cd Cl
1 1 1
direct
0.000 0.000 0.000
0.333 0.667 0.307
0.667 0.333 0.768
```


x) Density functional theory data (PBE-GGA) for a relaxed structure of MnCdCl.

Calculated values
Magnetization ... 1.35 μB/atom
Crystal system ... trigonal
Space-group type ... P3m1, No. 156
V ... 22.90 Å³ per atom

The structure in POSCAR format:
```
MnCdCl
1.0
4.177 0.000 0.000
-2.088 3.617 0.000
0.000 0.000 4.547
Mn Cd Cl
1 1 1
direct
0.000 0.000 0.000
0.333 0.667 0.502
0.667 0.333 0.003
```


Which of them is the least stable? Correct choice: x).


w) Density functional theory data (PBE-GGA) for a relaxed structure of MnCdCl3.

Calculated values
Magnetization ... 1.20 μB/atom
Crystal system ... cubic
Space-group type ... Pm-3m, No. 221
V ... 28.25 Å³ per atom

The structure in POSCAR format:
```
MnCdCl3
1.0
5.208 0.000 0.000
0.000 5.208 0.000
0.000 0.000 5.208
Mn Cd Cl
1 1 3
direct
0.000 0.000 0.000
0.500 0.500 0.500
0.000 0.500 0.500
0.500 0.000 0.500
0.500 0.500 0.000
```


x) Density functional theory data (PBE-GGA) for a relaxed structure of MnCdCl3.

Calculated values
Magnetization ... 0.83 μB/atom
Crystal system ... cubic
Space-group type ... Pm-3m, No. 221
V ... 24.47 Å³ per atom

The structure in POSCAR format:
```
MnCdCl3
1.0
4.964 0.000 0.000
0.000 4.964 0.000
0.000 0.000 4.964
Mn Cd Cl
1 1 3
direct
0.000 0.000 0.000
0.500 0.500 0.500
0.000 0.000 0.500
0.000 0.500 0.000
0.500 0.000 0.000
```


Which of them is the least stable? Correct choice: w).


w) Density functional theory data (PBE-GGA) for a relaxed structure of MnCdS2Cl.

Calculated values
Magnetization ... 0.97 μB/atom
Crystal system ... tetragonal
Space-group type ... P4/mmm, No. 123
V ... 25.11 Å³ per atom

The structure in POSCAR format:
```
MnCdS2Cl
1.0
4.969 0.000 0.000
0.000 4.969 0.000
0.000 0.000 5.085
Mn Cd S Cl
1 1 2 1
direct
0.000 0.000 0.000
0.500 0.500 0.500
0.000 0.500 0.500
0.500 0.000 0.500
0.500 0.500 0.000
```


x) Density functional theory data (PBE-GGA) for a relaxed structure of MnCdS2Cl.

Calculated values
Magnetization ... 0.00 μB/atom
Crystal system ... tetragonal
Space-group type ... P4/mmm, No. 123
V ... 19.28 Å³ per atom

The structure in POSCAR format:
```
MnCdS2Cl
1.0
4.423 0.000 0.000
0.000 4.423 0.000
0.000 0.000 4.927
Mn Cd S Cl
1 1 2 1
direct
0.000 0.000 0.000
0.500 0.500 0.500
0.000 0.500 0.000
0.500 0.000 0.000
0.000 0.000 0.500
```


Which of them is the least stable? Correct choice: w).